(1)
# Pa3PbS6, relaxed, DFT PBE
data_Pa3PbS6
_cell_length_a 3.972
_cell_length_b 11.239
_cell_length_c 11.730
_cell_angle_alpha 108.65
_cell_angle_beta 90.00
_cell_angle_gamma 90.00
_space_group_name_H-M_alt 'P 1'
_space_group_IT_number 1
_space_group_name_Hall 'P 1'
loop_
_atom_site_label
_atom_site_fract_x
_atom_site_fract_y
_atom_site_fract_z
Pa1 0.750 0.455 0.837
Pa2 0.250 0.545 0.163
Pa3 0.750 0.675 0.494
Pa4 0.250 0.325 0.506
Pa5 0.750 0.159 0.088
Pa6 0.250 0.841 0.912
Pb1 0.750 0.044 0.683
Pb2 0.250 0.956 0.317
S1 0.750 0.496 0.620
S2 0.250 0.504 0.380
S3 0.750 0.916 0.083
S4 0.250 0.084 0.917
S5 0.750 0.381 0.040
S6 0.250 0.619 0.960
S7 0.750 0.712 0.268
S8 0.250 0.288 0.732
S9 0.750 0.137 0.475
S10 0.250 0.863 0.525
S11 0.750 0.801 0.745
S12 0.250 0.199 0.255
# - Total magnetization: 9.944 μB/cell
# - Electronic total energy: -140.38 eV/cell
# - ΔE_f (raw): -1.323 eV/atom
# - V: 24.81 A^3/atom


(2)
# Mn4Sb2C, relaxed, DFT PBE
data_Mn4Sb2C
_cell_length_a 3.934
_cell_length_b 3.934
_cell_length_c 7.204
_cell_angle_alpha 74.16
_cell_angle_beta 74.16
_cell_angle_gamma 90.00
_space_group_name_H-M_alt 'P 1'
_space_group_IT_number 1
_space_group_name_Hall 'P 1'
loop_
_atom_site_label
_atom_site_fract_x
_atom_site_fract_y
_atom_site_fract_z
Sb1 0.651 0.651 0.698
Sb2 0.349 0.349 0.302
C1 0.000 0.000 0.000
Mn1 0.855 0.855 0.290
Mn2 0.145 0.145 0.710
Mn3 0.000 0.500 0.000
Mn4 0.500 0.000 0.000
# - Total magnetization: 8.336 μB/cell
# - Electronic total energy: -53.64 eV/cell
# - ΔE_f (raw): 0.072 eV/atom
# - V: 14.69 A^3/atom


(3)
# MgTa2Ni, relaxed, DFT PBE
data_MgTa2Ni
_cell_length_a 9.679
_cell_length_b 9.679
_cell_length_c 9.679
_cell_angle_alpha 17.02
_cell_angle_beta 17.02
_cell_angle_gamma 17.02
_space_group_name_H-M_alt 'P 1'
_space_group_IT_number 1
_space_group_name_Hall 'P 1'
loop_
_atom_site_label
_atom_site_fract_x
_atom_site_fract_y
_atom_site_fract_z
Mg1 0.250 0.250 0.250
Ni1 0.750 0.750 0.750
Ta1 0.009 0.009 0.009
Ta2 0.491 0.491 0.491
# - Total magnetization: 0.000 μB/cell
# - Calculated formation energy: 207 meV per atom
# - Electronic total energy: -30.25 eV/cell
# - V: 16.95 A^3/atom


(4)
# Tb5Ru2, relaxed, DFT PBE
data_Tb5Ru2
_cell_length_a 8.538
_cell_length_b 8.538
_cell_length_c 7.292
_cell_angle_alpha 83.21
_cell_angle_beta 83.21
_cell_angle_gamma 43.93
_space_group_name_H-M_alt 'P 1'
_space_group_IT_number 1
_space_group_name_Hall 'P 1'
loop_
_atom_site_label
_atom_site_fract_x
_atom_site_fract_y
_atom_site_fract_z
Tb1 0.206 0.980 0.086
Tb2 0.020 0.794 0.414
Tb3 0.794 0.020 0.914
Tb4 0.980 0.206 0.586
Tb5 0.793 0.641 0.186
Tb6 0.359 0.207 0.314
Tb7 0.207 0.359 0.814
Tb8 0.641 0.793 0.686
Tb9 0.578 0.422 0.250
Tb10 0.422 0.578 0.750
Ru1 0.397 0.825 0.424
Ru2 0.175 0.603 0.076
Ru3 0.603 0.175 0.576
Ru4 0.825 0.397 0.924
# - Total magnetization: 0.000 μB/cell
# - Calculated formation energy: -341 meV per atom
# - Electronic total energy: -88.19 eV/cell
# - V: 26.12 A^3/atom


(5)
# Mg2Sn2Te, relaxed, DFT PBE
data_Mg2Sn2Te
_cell_length_a 4.889
_cell_length_b 4.889
_cell_length_c 6.852
_cell_angle_alpha 69.10
_cell_angle_beta 69.10
_cell_angle_gamma 90.00
_space_group_name_H-M_alt 'P 1'
_space_group_IT_number 1
_space_group_name_Hall 'P 1'
loop_
_atom_site_label
_atom_site_fract_x
_atom_site_fract_y
_atom_site_fract_z
Mg1 0.750 0.250 0.500
Mg2 0.250 0.750 0.500
Te1 0.000 0.000 0.000
Sn1 0.385 0.385 0.231
Sn2 0.615 0.615 0.769
# - Total magnetization: 0.000 μB/cell
# - Electronic total energy: -14.00 eV/cell
# - ΔE_f (raw): 0.068 eV/atom
# - V: 28.28 A^3/atom
# - Energy above the most stable polymorph in this dataset: 0.174 eV per atom


(6)
# NpAgTe2N, relaxed, DFT PBE
data_NpAgTe2N
_cell_length_a 3.810
_cell_length_b 3.810
_cell_length_c 16.629
_cell_angle_alpha 90.00
_cell_angle_beta 90.00
_cell_angle_gamma 90.00
_space_group_name_H-M_alt 'P 1'
_space_group_IT_number 1
_space_group_name_Hall 'P 1'
loop_
_atom_site_label
_atom_site_fract_x
_atom_site_fract_y
_atom_site_fract_z
Np1 0.500 0.000 0.569
Np2 0.000 0.500 0.431
Ag1 0.500 0.000 0.051
Ag2 0.000 0.500 0.949
Te1 0.000 0.500 0.676
Te2 0.000 0.500 0.124
Te3 0.500 0.000 0.876
Te4 0.500 0.000 0.324
N1 0.000 0.000 0.500
N2 0.500 0.500 0.500
# - Total magnetization: 4.085 μB/cell
# - Electronic total energy: -66.46 eV/cell
# - ΔE_f (raw): -0.566 eV/atom
# - V: 24.14 A^3/atom